VASP calculation (PBE-GGA) on a relaxed Al6CuPd12 crystal.

calculated formation energy: -452 meV/atom

Unit cell a=10.8353 b=10.8353 c=9.7538 alpha=90.00 beta=90.00 gamma=120.00
Closest atoms and distances in Å follow each position.
Space group R-3 (No. 148, hexagonal axes)
Symmetry-distinct sites (fractional):
Al1 0.0466 0.2098 0.1831 x18  7 Pd 2.46-2.72
Cu1 0.0000 0.0000 0.5000 x3  6 Pd 2.56
Pd1 0.0468 0.2475 0.4316 x18  3 Al 2.46-2.72, 1 Cu 2.56
Pd2 0.0584 0.2458 0.9240 x18  4 Al 2.46-2.62